The following is a DFT calculation (PBE-GGA) of a relaxed structure of LiCePmCd.

Its formation enthalpy at 0 K is 1.86 kcal/mol of atoms.

Cell and atoms, written as CIF:
```
data_LiCePmCd
_cell_length_a 7.4173
_cell_length_b 7.4173
_cell_length_c 7.4173
_cell_angle_alpha 90.00
_cell_angle_beta 90.00
_cell_angle_gamma 90.00
_space_group_name_H-M_alt 'F -4 3 m'
_space_group_IT_number 216
_space_group_name_Hall 'F -4 2 3'
loop_
_atom_site_label
_atom_site_type_symbol
_atom_site_fract_x
_atom_site_fract_y
_atom_site_fract_z
Li1 Li 0.0000 0.0000 0.0000
Ce1 Ce 0.0000 0.0000 0.5000
Pm1 Pm 0.2500 0.2500 0.7500
Cd1 Cd 0.2500 0.2500 0.2500
```



The following is a DFT calculation (PBE-GGA) of a relaxed structure of LiCeCdPt.

Its formation enthalpy at 0 K is -12.14 kcal/mol of atoms.

Cell and atoms, written as CIF:
```
data_LiCeCdPt
_cell_length_a 6.8688
_cell_length_b 6.8688
_cell_length_c 6.8688
_cell_angle_alpha 90.00
_cell_angle_beta 90.00
_cell_angle_gamma 90.00
_space_group_name_H-M_alt 'F -4 3 m'
_space_group_IT_number 216
_space_group_name_Hall 'F -4 2 3'
loop_
_atom_site_label
_atom_site_type_symbol
_atom_site_fract_x
_atom_site_fract_y
_atom_site_fract_z
Li1 Li 0.0000 0.0000 0.0000
Ce1 Ce 0.2500 0.2500 0.2500
Cd1 Cd 0.2500 0.2500 0.7500
Pt1 Pt 0.0000 0.0000 0.5000
```



The following is a DFT calculation (PBE-GGA) of a relaxed structure of LiCe2CdS4.

The calculation puts the raw formation energy at -1426 meV/atom.

Cell and atoms, written as CIF:
```
data_LiCe2CdS4
_cell_length_a 6.8076
_cell_length_b 4.0081
_cell_length_c 6.8926
_cell_angle_alpha 90.00
_cell_angle_beta 109.09
_cell_angle_gamma 90.00
_space_group_name_H-M_alt 'P 1 2/m 1'
_space_group_IT_number 10
loop_
_space_group_symop_operation_xyz
'x,y,z'
'-x,-y,-z'
'-x,y,-z'
'x,-y,z'
loop_
_atom_site_label
_atom_site_type_symbol
_atom_site_fract_x
_atom_site_fract_y
_atom_site_fract_z
Li1 Li 0.0000 0.0000 0.0000
Ce1 Ce 0.5000 0.0000 0.5000
Ce2 Ce 0.5000 0.5000 0.0000
Cd1 Cd 0.0000 0.5000 0.5000
S1 S 0.2353 0.0000 0.7502
S2 S 0.2383 0.5000 0.2475
```



The following is a DFT calculation (PBE-GGA) of a relaxed structure of LiCeCdSb.

The calculation puts the raw formation energy at -451 meV/atom.

Cell and atoms, written as CIF:
```
data_LiCeCdSb
_cell_length_a 7.3768
_cell_length_b 7.3768
_cell_length_c 7.3768
_cell_angle_alpha 90.00
_cell_angle_beta 90.00
_cell_angle_gamma 90.00
_space_group_name_H-M_alt 'F -4 3 m'
_space_group_IT_number 216
_space_group_name_Hall 'F -4 2 3'
loop_
_atom_site_label
_atom_site_type_symbol
_atom_site_fract_x
_atom_site_fract_y
_atom_site_fract_z
Li1 Li 0.0000 0.0000 0.0000
Ce1 Ce 0.0000 0.0000 0.5000
Cd1 Cd 0.2500 0.2500 0.7500
Sb1 Sb 0.2500 0.2500 0.2500
```



The following is a DFT calculation (PBE-GGA) of a relaxed structure of LiCeScCd.

Its formation enthalpy at 0 K is 0.45 kcal/mol of atoms.

Cell and atoms, written as CIF:
```
data_LiCeScCd
_cell_length_a 7.3268
_cell_length_b 7.3268
_cell_length_c 7.3268
_cell_angle_alpha 90.00
_cell_angle_beta 90.00
_cell_angle_gamma 90.00
_space_group_name_H-M_alt 'F -4 3 m'
_space_group_IT_number 216
_space_group_name_Hall 'F -4 2 3'
loop_
_atom_site_label
_atom_site_type_symbol
_atom_site_fract_x
_atom_site_fract_y
_atom_site_fract_z
Li1 Li 0.0000 0.0000 0.0000
Ce1 Ce 0.2500 0.2500 0.7500
Sc1 Sc 0.2500 0.2500 0.2500
Cd1 Cd 0.0000 0.0000 0.5000
```



The following is a DFT calculation (PBE-GGA) of a relaxed structure of LiCeSc2Cd4.

Its formation enthalpy at 0 K is -4.26 kcal/mol of atoms.

Cell and atoms, written as CIF:
```
data_LiCeSc2Cd4
_cell_length_a 5.0175
_cell_length_b 5.0175
_cell_length_c 25.5351
_cell_angle_alpha 90.00
_cell_angle_beta 90.00
_cell_angle_gamma 120.00
_space_group_name_H-M_alt 'R -3 m'
_space_group_IT_number 166
_space_group_name_Hall '-R 3 2"'
loop_
_atom_site_label
_atom_site_type_symbol
_atom_site_fract_x
_atom_site_fract_y
_atom_site_fract_z
Li1 Li 0.0000 0.0000 0.0000
Ce1 Ce 0.0000 0.0000 0.5000
Sc1 Sc 0.0000 0.0000 0.2519
Cd1 Cd 0.0000 0.0000 0.1121
Cd2 Cd 0.0000 0.0000 0.3710
```